The following is a PBE calculation of a relaxed AgHgTeO crystal, from OQMD via LeMat-Bulk.

a b c (Å): 4.0776 4.0776 10.9981
angles (deg): 90.00 90.00 90.00
Last column: nearest neighbours and their distance in Å.
Sites, in units of the cell vectors:
Ag1 0.2500 0.2500 0.1342  5 Te 2.89-3.15
Ag2 0.7500 0.7500 0.8658  5 Te 2.89-3.15
Hg1 0.2500 0.2500 0.5949  4 O 2.29
Hg2 0.7500 0.7500 0.4051  4 O 2.29
Te1 0.2500 0.2500 0.8478  1 Hg 2.78, 4 Ag 2.89
Te2 0.7500 0.7500 0.1522  1 Hg 2.78, 4 Ag 2.89
O1 0.2500 0.7500 0.5000  4 Hg 2.29
O2 0.7500 0.2500 0.5000  4 Hg 2.29

space group: P4/nmm (129)


The following is a PBE calculation of a relaxed AgHgTeO crystal, from OQMD via LeMat-Bulk.

a b c (Å): 7.3653 8.7572 5.7095
angles (deg): 90.00 90.00 90.00
Last column: nearest neighbours and their distance in Å.
Sites, in units of the cell vectors:
Ag1 0.0271 0.1649 0.0000  1 O 2.24
Ag2 0.4729 0.1649 0.5000  1 O 2.24
Ag3 0.5271 0.8351 0.0000  1 O 2.24
Ag4 0.9729 0.8351 0.5000  1 O 2.24
Hg1 0.1114 0.5756 0.9675  2 O 2.20-2.22
Hg2 0.3886 0.5756 0.4675  2 O 2.20-2.22
Hg3 0.6114 0.4244 0.9675  2 O 2.20-2.22
Hg4 0.8886 0.4244 0.4675  2 O 2.20-2.22
Te1 0.0917 0.1358 0.5019  4 Ag 2.77-2.92, 1 Hg 2.94
Te2 0.4083 0.1358 0.0019  4 Ag 2.77-2.92, 1 Hg 2.94
Te3 0.5917 0.8642 0.5019  4 Ag 2.77-2.92, 1 Hg 2.94
Te4 0.9083 0.8642 0.0019  4 Ag 2.77-2.92, 1 Hg 2.94
O1 0.0966 0.6029 0.5340  2 Hg 2.20-2.22, 1 Ag 2.24
O2 0.4034 0.6029 0.0340  2 Hg 2.20-2.22, 1 Ag 2.24
O3 0.5966 0.3971 0.5340  2 Hg 2.20-2.22, 1 Ag 2.24
O4 0.9034 0.3971 0.0340  2 Hg 2.20-2.22, 1 Ag 2.24

space group: Pca2_1 (29)


The following is a PBE calculation of a relaxed AgHgTeO crystal, from OQMD via LeMat-Bulk.

a b c (Å): 7.4690 7.4690 6.7775
angles (deg): 90.00 90.00 152.62
Last column: nearest neighbours and their distance in Å.
Sites, in units of the cell vectors:
Ag1 0.1944 0.8056 0.5000  2 O 2.38
Ag2 0.8056 0.1944 0.0000  2 O 2.38
Hg1 0.4902 0.5098 0.3133  2 O 2.11-2.13
Hg2 0.5098 0.4902 0.8133  2 O 2.11-2.13
Te1 0.1613 0.8387 0.0682  3 Ag 2.78-2.97
Te2 0.8387 0.1613 0.5682  3 Ag 2.78-2.97
O1 0.4133 0.5867 0.0491  2 Hg 2.11-2.13
O2 0.5867 0.4133 0.5491  2 Hg 2.11-2.13

space group: Cmc2_1 (36)


The following is a PBE calculation of a relaxed AgHgTeO crystal, from OQMD via LeMat-Bulk.

a b c (Å): 7.5886 7.5886 5.9430
angles (deg): 90.00 90.00 152.80
Last column: nearest neighbours and their distance in Å.
Sites, in units of the cell vectors:
Ag1 0.1252 0.8748 0.7500  2 O 2.37
Ag2 0.8748 0.1252 0.2500  2 O 2.37
Hg1 0.4424 0.5576 0.7500  4 O 2.47
Hg2 0.5576 0.4424 0.2500  4 O 2.47
Te1 0.2266 0.7734 0.2500  2 Ag 2.82, 2 Hg 3.07
Te2 0.7734 0.2266 0.7500  2 Ag 2.82, 2 Hg 3.07
O1 0.0000 0.0000 0.0000  2 Ag 2.37, 4 Hg 2.47
O2 0.0000 0.0000 0.5000  2 Ag 2.37, 4 Hg 2.47

space group: Cmcm (63)


The following is a PBE calculation of a relaxed AgHgTeO crystal, from OQMD via LeMat-Bulk.

a b c (Å): 5.9304 6.9498 9.5973
angles (deg): 90.00 90.00 90.00
Last column: nearest neighbours and their distance in Å.
Sites, in units of the cell vectors:
Ag1 0.0273 0.0905 0.2993  1 O 2.39
Ag2 0.4727 0.9095 0.7993  1 O 2.39
Ag3 0.5273 0.4095 0.7007  1 O 2.39
Ag4 0.9727 0.5905 0.2007  1 O 2.39
Hg1 0.0288 0.5255 0.7542  2 O 2.08-2.09
Hg2 0.4712 0.4745 0.2542  2 O 2.08-2.09
Hg3 0.5288 0.9745 0.2458  2 O 2.08-2.09
Hg4 0.9712 0.0255 0.7458  2 O 2.08-2.09
Te1 0.0260 0.7640 0.4544  2 Ag 2.71-2.74
Te2 0.4740 0.2360 0.9544  2 Ag 2.71-2.74
Te3 0.5260 0.7360 0.5456  2 Ag 2.71-2.74
Te4 0.9740 0.2640 0.0456  2 Ag 2.71-2.74
O1 0.1053 0.7860 0.8488  2 Hg 2.08-2.09
O2 0.3947 0.2140 0.3488  2 Hg 2.08-2.09
O3 0.6053 0.7140 0.1512  2 Hg 2.08-2.09
O4 0.8947 0.2860 0.6512  2 Hg 2.08-2.09

space group: P2_12_12_1 (19)


The following is a PBE calculation of a relaxed AgHgTeO crystal, from OQMD via LeMat-Bulk.

a b c (Å): 6.5739 8.2248 6.1320
angles (deg): 90.00 90.00 90.00
Last column: nearest neighbours and their distance in Å.
Sites, in units of the cell vectors:
Ag1 0.2488 0.0627 0.0000  4 O 2.27-2.48
Ag2 0.2512 0.0627 0.5000  4 O 2.27-2.48
Ag3 0.7488 0.9373 0.0000  4 O 2.27-2.48
Ag4 0.7512 0.9373 0.5000  4 O 2.27-2.48
Hg1 0.0738 0.6661 0.2515  1 O 2.23
Hg2 0.4262 0.6661 0.7515  1 O 2.23
Hg3 0.5738 0.3339 0.2515  1 O 2.23
Hg4 0.9262 0.3339 0.7515  1 O 2.23
Te1 0.0339 0.3284 0.2526  2 Hg 2.79-3.02, 2 Ag 3.02-3.03
Te2 0.4661 0.3284 0.7526  2 Hg 2.79-3.02, 2 Ag 3.02-3.03
Te3 0.5339 0.6716 0.2526  2 Hg 2.79-3.02, 2 Ag 3.02-3.03
Te4 0.9661 0.6716 0.7526  2 Hg 2.79-3.02, 2 Ag 3.02-3.03
O1 0.0047 0.9317 0.2487  1 Hg 2.23, 4 Ag 2.27-2.48
O2 0.4953 0.9317 0.7487  1 Hg 2.23, 4 Ag 2.27-2.48
O3 0.5047 0.0683 0.2487  1 Hg 2.23, 4 Ag 2.27-2.48
O4 0.9953 0.0683 0.7487  1 Hg 2.23, 4 Ag 2.27-2.48

space group: Pca2_1 (29)


| no. | ΔE to the lowest computed polymorph (eV/atom) | VASP energy (eV/atom) |
| --- | --- | --- |
| 1 | 0.085 | -2.81 |
| 2 | 0.023 | -2.87 |
| 3 | 0.009 | -2.89 |
| 4 | 0.150 | -2.75 |
| 5 | 0.030 | -2.87 |
| 6 | 0.091 | -2.81 |